1.
VASP calculation (PBE) on a relaxed structure of La6Nd2SmSc.

Values from the calculation:
**Formation enthalpy at 0 K**: 0.199 eV/atom

Geometry as POSCAR:
```
La6Nd2SmSc
1.0
9.256 0.000 0.869
0.000 6.904 0.000
-2.345 -3.452 5.273
La Nd Sm Sc
6 2 1 1
direct
0.417 0.627 0.254
0.190 0.033 0.597
0.810 0.436 0.403
0.190 0.564 0.597
0.810 0.967 0.403
0.583 0.373 0.746
0.169 0.071 0.142
0.831 0.929 0.858
0.500 0.000 0.000
0.000 0.500 0.000
```



2.
VASP calculation (PBE) on a relaxed structure of La2NdSm5Sc.

Values from the calculation:
**Formation enthalpy at 0 K**: 0.123 eV/atom

Geometry as POSCAR:
```
La2NdSm5Sc
1.0
5.488 0.000 0.000
-2.744 11.001 0.000
0.000 0.000 10.199
La Nd Sm Sc
4 2 10 2
direct
0.882 0.764 0.768
0.118 0.236 0.748
0.118 0.236 0.268
0.882 0.764 0.248
0.602 0.204 0.008
0.398 0.796 0.508
0.374 0.748 0.008
0.723 0.446 0.821
0.500 0.000 0.758
0.277 0.554 0.696
0.000 0.001 0.508
0.626 0.252 0.508
0.277 0.554 0.321
0.500 0.000 0.258
0.723 0.446 0.196
0.000 0.999 0.008
0.784 0.568 0.508
0.216 0.432 0.008
```



3.
VASP calculation (PBE) on a relaxed structure of La4Nd2SmSc.

Values from the calculation:
**Formation enthalpy at 0 K**: 0.095 eV/atom

Geometry as POSCAR:
```
La4Nd2SmSc
1.0
6.009 0.000 0.000
0.000 5.811 1.519
0.000 3.881 8.910
La Nd Sm Sc
4 2 1 1
direct
0.000 0.764 0.737
0.000 0.236 0.263
0.500 0.733 0.267
0.500 0.267 0.733
0.000 0.000 0.000
0.500 0.000 0.500
0.500 0.500 0.000
0.000 0.500 0.500
```



4.
VASP calculation (PBE) on a relaxed structure of LaNd3SmSc.

Values from the calculation:
**Formation enthalpy at 0 K**: 0.042 eV/atom

Geometry as POSCAR:
```
LaNd3SmSc
1.0
-1.967 -2.152 4.157
-1.085 -5.048 -6.227
9.042 -4.407 1.997
La Nd Sm Sc
2 6 2 2
direct
0.495 0.990 0.750
0.505 0.010 0.250
0.668 0.335 0.499
0.332 0.665 0.501
0.332 0.665 0.999
0.668 0.335 0.001
0.171 0.341 0.750
0.829 0.659 0.250
0.000 0.000 0.500
0.000 0.000 0.000
0.832 0.663 0.750
0.168 0.337 0.250
```



Number 1: density of states at the Fermi level 1.73 states/eV per atom, final energy -4.8166 eV/atom. Number 2: density of states at the Fermi level 1.67 states/eV per atom, final energy -4.8275 eV/atom. Number 3: density of states at the Fermi level 1.64 states/eV per atom, final energy -4.9420 eV/atom. Number 4: density of states at the Fermi level 1.64 states/eV per atom, final energy -5.0051 eV/atom.